Entry 1:
The following is a PBE calculation of LiZnNO after structural relaxation, from OQMD via LeMat-Bulk.

```
data_LiZnNO
_cell_length_a 4.193
_cell_length_b 4.193
_cell_length_c 4.065
_cell_angle_alpha 90.00
_cell_angle_beta 90.00
_cell_angle_gamma 90.00
_symmetry_space_group_name_H-M 'P 4/n m m'
_symmetry_Int_Tables_number 129
loop_
_symmetry_equiv_pos_as_xyz
'x,y,z'
'-x,-y,-z'
'-y+1/2,x,z'
'y+1/2,-x,-z'
'-x+1/2,-y+1/2,z'
'x+1/2,y+1/2,-z'
'y,-x+1/2,z'
'-y,x+1/2,-z'
'x+1/2,-y,-z'
'-x+1/2,y,z'
'-y,-x,-z'
'y,x,z'
'-x,y+1/2,-z'
'x,-y+1/2,z'
'y+1/2,x+1/2,-z'
'-y+1/2,-x+1/2,z'
loop_
_atom_site_label
_atom_site_fract_x
_atom_site_fract_y
_atom_site_fract_z
Li1 0.250 0.750 0.000
Zn1 0.250 0.250 0.498
N1 0.250 0.250 0.999
O1 0.250 0.750 0.500
```

Output
Electronic total energy, eV per atom: -4.27
V, A^3/atom: 8.933

Entry 2:
The following is a PBE calculation of Nd2HoS3 after structural relaxation, from OQMD via LeMat-Bulk.

```
data_Nd2HoS3
_cell_length_a 3.9855
_cell_length_b 3.9855
_cell_length_c 9.8957
_cell_angle_alpha 90.00
_cell_angle_beta 90.00
_cell_angle_gamma 120.00
_symmetry_space_group_name_H-M 'P -3 m 1'
_symmetry_Int_Tables_number 164
_symmetry_space_group_name_Hall '-P 3 2"'
loop_
_atom_site_label
_atom_site_fract_x
_atom_site_fract_y
_atom_site_fract_z
Nd1 0.3333 0.6667 0.1701
Ho1 0.0000 0.0000 0.5000
S1 0.0000 0.0000 0.0000
S2 0.3333 0.6667 0.6529
```

Output
Electronic total energy, eV per atom: -6.43
V, A^3/atom: 22.688
Magnetic moment, Bohr magnetons per cell: 0.00

Entry 3:
The following is a PBE calculation of NdN after structural relaxation, from OQMD via LeMat-Bulk.

```
data_NdN
_cell_length_a 4.391
_cell_length_b 4.391
_cell_length_c 3.570
_cell_angle_alpha 90.00
_cell_angle_beta 90.00
_cell_angle_gamma 90.00
_symmetry_space_group_name_H-M 'P 4/n m m'
_symmetry_Int_Tables_number 129
loop_
_symmetry_equiv_pos_as_xyz
'x,y,z'
'-x,-y,-z'
'-y+1/2,x,z'
'y+1/2,-x,-z'
'-x+1/2,-y+1/2,z'
'x+1/2,y+1/2,-z'
'y,-x+1/2,z'
'-y,x+1/2,-z'
'x+1/2,-y,-z'
'-x+1/2,y,z'
'-y,-x,-z'
'y,x,z'
'-x,y+1/2,-z'
'x,-y+1/2,z'
'y+1/2,x+1/2,-z'
'-y+1/2,-x+1/2,z'
loop_
_atom_site_label
_atom_site_fract_x
_atom_site_fract_y
_atom_site_fract_z
Nd1 0.250 0.250 0.232
N1 0.250 0.750 0.500
```

Output
Electronic total energy, eV per atom: -7.60
V, A^3/atom: 17.206
Magnetic moment, Bohr magnetons per cell: 0.00